(1)
The following is a GGA-PBE calculation of an optimized crystal structure of Ac3Rh2, from Alexandria via LeMat-Bulk.

Cell lengths 11.0844, 11.0844, 11.0844 Å; angles 160.50, 160.50, 27.72 degrees
Positions (direct):
Ac 0.0000 0.0000 0.0000
Ac 0.1675 0.1675 0.0000
Ac 0.8325 0.8325 0.0000
Rh 0.4083 0.4083 0.0000
Rh 0.5917 0.5917 0.0000

**DFT formation energy**: -460 meV per atom
**Space-group type**: No. 139
**Energy above the most stable polymorph in this dataset**: 0.161 eV per atom

(2)
The following is a GGA-PBE calculation of an optimized crystal structure of Ac2Rh7, from Alexandria via LeMat-Bulk.

Cell lengths 13.7803, 13.7803, 13.7803 Å; angles 22.66, 22.66, 22.66 degrees
Positions (direct):
Ac 0.0504 0.0504 0.0504
Ac 0.1468 0.1468 0.1468
Ac 0.8532 0.8532 0.8532
Ac 0.9496 0.9496 0.9496
Rh 0.0000 0.5000 0.5000
Rh 0.1091 0.6083 0.6083
Rh 0.2782 0.2782 0.2782
Rh 0.3882 0.3882 0.3882
Rh 0.3917 0.3917 0.8909
Rh 0.3917 0.8909 0.3917
Rh 0.5000 0.0000 0.5000
Rh 0.5000 0.5000 0.0000
Rh 0.5000 0.5000 0.5000
Rh 0.6083 0.1091 0.6083
Rh 0.6083 0.6083 0.1091
Rh 0.6118 0.6118 0.6118
Rh 0.7218 0.7218 0.7218
Rh 0.8909 0.3917 0.3917

**DFT formation energy**: -395 meV per atom
**Space-group type**: No. 166

(3)
The following is a GGA-PBE calculation of an optimized crystal structure of Ac6Rh5, from Alexandria via LeMat-Bulk.

Cell lengths 7.4018, 7.4018, 7.4007 Å; angles 99.47, 99.47, 119.84 degrees
Positions (direct):
Ac 0.0696 0.4140 0.7419
Ac 0.2399 0.2399 0.2502
Ac 0.4140 0.0696 0.7419
Ac 0.5860 0.9304 0.2581
Ac 0.7601 0.7601 0.7498
Ac 0.9304 0.5860 0.2581
Rh 0.0000 0.0000 0.5000
Rh 0.1680 0.8320 0.0000
Rh 0.3432 0.6568 0.5000
Rh 0.6568 0.3432 0.5000
Rh 0.8320 0.1680 0.0000

**DFT formation energy**: -638 meV per atom
**Space-group type**: No. 12